(1)
## Pm3ZnTeCl (PBE)

Data for a relaxed Pm3ZnTeCl crystal.

Cell: 7.995 4.199 10.548 Å, 90.00 109.37 90.00°
Atoms (fractional coordinates):
Pm  0.028  0.250  0.273
Pm  0.236  0.250  0.025
Pm  0.360  0.750  0.590
Pm  0.640  0.250  0.410
Pm  0.764  0.750  0.975
Pm  0.972  0.750  0.727
Zn  0.072  0.250  0.562
Zn  0.928  0.750  0.438
Te  0.334  0.750  0.275
Te  0.666  0.250  0.725
Cl  0.355  0.750  0.881
Cl  0.645  0.250  0.119

## Properties
Total magnetic moment = 0.00 μB per cell
Symmetry = No. 11
ΔE_f (raw) = -0.99 eV/atom
Calculated volume = 27.8 Å³ per atom
Uncorrected energy = -4.41 eV per atom

(2)
## KZn2In2 (PBE)

Data for a relaxed KZn2In2 crystal.

Cell: 6.817 6.817 6.817 Å, 140.06 140.06 57.77°
Atoms (fractional coordinates):
K  0.000  0.000  0.000
Zn  0.393  0.393  0.000
Zn  0.607  0.607  0.000
In  0.250  0.750  0.500
In  0.750  0.250  0.500

## Properties
Offset from the most stable computed form = 0.000 eV per atom
Total magnetic moment = 0.00 μB per cell
Symmetry = No. 139
Calculated volume = 25.9 Å³ per atom
Uncorrected energy = -1.87 eV per atom
DFT formation energy = -45 meV per atom

(3)
## Ce2Tm2Pb5 (PBE)

Data for a relaxed Ce2Tm2Pb5 crystal.

Cell: 10.446 10.446 10.446 Å, 143.95 65.92 126.84°
Atoms (fractional coordinates):
Ce  0.145  0.080  0.065
Ce  0.485  0.920  0.565
Ce  0.515  0.080  0.435
Ce  0.855  0.920  0.935
Tm  0.000  0.500  0.500
Tm  0.085  0.335  0.750
Tm  0.500  0.500  0.000
Tm  0.915  0.665  0.250
Pb  0.160  0.000  0.660
Pb  0.160  0.500  0.160
Pb  0.292  0.631  0.661
Pb  0.298  0.048  0.250
Pb  0.469  0.631  0.839
Pb  0.531  0.369  0.161
Pb  0.702  0.952  0.750
Pb  0.708  0.369  0.339
Pb  0.840  0.000  0.340
Pb  0.840  0.500  0.840

## Properties
Total magnetic moment = 3.74 μB per cell
Symmetry = No. 74
Calculated volume = 29.4 Å³ per atom
Uncorrected energy = -4.64 eV per atom
DFT formation energy = -270 meV per atom

(4)
## BeNbZn2 (PBE)

Data for a relaxed BeNbZn2 crystal.

Cell: 4.974 4.974 4.974 Å, 45.47 45.47 45.47°
Atoms (fractional coordinates):
Be  0.000  0.000  0.000
Nb  0.500  0.500  0.500
Zn  0.284  0.284  0.284
Zn  0.716  0.716  0.716

## Properties
Total magnetic moment = 0.00 μB per cell
Symmetry = No. 166
Calculated volume = 14.2 Å³ per atom
Uncorrected energy = -3.89 eV per atom
DFT formation energy = 191 meV per atom

(5)
## NaSr4Sn2Hg (PBE)

Data for a relaxed NaSr4Sn2Hg crystal.

Cell: 9.988 9.988 9.988 Å, 33.51 33.51 33.51°
Atoms (fractional coordinates):
Na  0.000  0.000  0.000
Sr  0.129  0.129  0.129
Sr  0.380  0.380  0.380
Sr  0.620  0.620  0.620
Sr  0.871  0.871  0.871
Sn  0.254  0.254  0.254
Sn  0.746  0.746  0.746
Hg  0.500  0.500  0.500

## Properties
Total magnetic moment = 0.00 μB per cell
Symmetry = No. 166
Calculated volume = 33.8 Å³ per atom
Uncorrected energy = -2.60 eV per atom
DFT formation energy = -552 meV per atom

(6)
## CaAl3Au3 (PBE)

Data for a relaxed CaAl3Au3 crystal.

Cell: 8.131 8.131 8.131 Å, 50.13 50.13 50.13°
Atoms (fractional coordinates):
Ca  0.163  0.163  0.163
Ca  0.837  0.837  0.837
Al  0.050  0.226  0.593
Al  0.226  0.593  0.050
Al  0.407  0.950  0.774
Al  0.593  0.050  0.226
Al  0.774  0.407  0.950
Al  0.950  0.774  0.407
Au  0.178  0.399  0.669
Au  0.331  0.822  0.601
Au  0.399  0.669  0.178
Au  0.601  0.331  0.822
Au  0.669  0.178  0.399
Au  0.822  0.601  0.331

## Properties
Offset from the most stable computed form = 0.123 eV per atom
Total magnetic moment = 0.00 μB per cell
Symmetry = No. 148
Calculated volume = 20.8 Å³ per atom
Uncorrected energy = -3.70 eV per atom
DFT formation energy = -405 meV per atom